5
Lattice="4.980 0.000 0.000 0.000 4.980 0.000 0.000 0.000 5.199" Properties=species:S:1:pos:R:3 comment="YTaNiAg2, relaxed, DFT GGA-PBEsol" n_ef_per_ev_atom=1.8069 formation_enthalpy_0k_ev_per_atom=1.681 final_energy_ev_per_cell=-23.75 pbc="T T T"
Ag 0.000 2.490 0.000
Y 0.000 0.000 2.600
Ag 2.490 0.000 0.000
Ta 0.000 0.000 0.000
Ni 2.490 2.490 2.600